(1)
This record from Alexandria via LeMat-Bulk describes a relaxed structure of Tb2Sm4Tl. The functional is PBE-GGA.

Geometry as POSCAR:
```
Tb2Sm4Tl
1.0
-1.207 2.612 -2.072
-7.721 -1.803 2.225
0.585 5.269 6.302
Sm Tl Tb
4 1 2
Direct
0.011 0.715 0.715
0.989 0.285 0.715
0.989 0.715 0.285
0.011 0.285 0.285
0.000 0.000 0.000
0.500 0.500 0.000
0.500 0.000 0.500
```

Symmetry   P-42m, No. 111
Calculated formation energy   0.24 eV per atom
Excess energy over the best structure of this formula in the dataset   244.2 meV per atom


(2)
This record from Alexandria via LeMat-Bulk describes a relaxed structure of Tb2Sm3Tl2. The functional is PBE-GGA.

Geometry as POSCAR:
```
Tb2Sm3Tl2
1.0
5.483 0.000 0.000
-2.742 4.734 -0.297
0.000 -2.659 8.328
Sm Tl Tb
3 2 2
Direct
0.345 0.689 0.534
0.500 0.000 0.000
0.655 0.311 0.466
0.215 0.431 0.146
0.785 0.569 0.854
0.925 0.850 0.275
0.075 0.150 0.725
```

Symmetry   C2/m, No. 12
Calculated formation energy   -0.20 eV per atom
Excess energy over the best structure of this formula in the dataset   0.0 meV per atom


(3)
This record from Alexandria via LeMat-Bulk describes a relaxed structure of TbSm7Tl4. The functional is PBE-GGA.

Geometry as POSCAR:
```
TbSm7Tl4
1.0
-2.053 4.546 -3.052
2.393 -1.193 -8.987
-6.665 -1.931 -3.995
Sm Tl Tb
7 4 1
Direct
0.937 0.396 0.729
0.730 0.329 0.211
0.500 0.000 0.000
0.063 0.604 0.271
0.270 0.671 0.789
0.795 0.882 0.529
0.205 0.118 0.471
0.314 0.334 0.038
0.444 0.739 0.372
0.686 0.666 0.962
0.556 0.261 0.628
0.000 0.000 0.000
```

Symmetry   C2/m, No. 12
Calculated formation energy   -0.05 eV per atom


(4)
This record from Alexandria via LeMat-Bulk describes a relaxed structure of Tb4SmTl2. The functional is PBE-GGA.

Geometry as POSCAR:
```
Tb4SmTl2
1.0
-2.199 -4.588 -1.961
1.249 -6.381 5.949
-10.872 2.603 -1.480
Tl Tb Sm
4 8 2
Direct
0.321 0.230 0.128
0.659 0.183 0.500
0.679 0.770 0.872
0.341 0.817 0.500
0.346 0.620 0.688
0.990 0.712 0.308
0.685 0.954 0.675
0.654 0.380 0.312
0.010 0.288 0.692
0.340 0.402 0.919
0.315 0.046 0.325
0.660 0.598 0.081
0.973 0.127 0.927
0.027 0.873 0.073
```

Symmetry   C2/m, No. 12
Calculated formation energy   -0.12 eV per atom
Excess energy over the best structure of this formula in the dataset   0.0 meV per atom


(5)
This record from Alexandria via LeMat-Bulk describes a relaxed structure of Tb2SmTl. The functional is PBE-GGA.

Geometry as POSCAR:
```
Tb2SmTl
1.0
-4.170 0.963 -3.465
-0.584 -3.077 -4.529
-4.157 -3.592 -0.371
Tb Sm Tl
2 1 1
Direct
0.750 0.750 0.750
0.250 0.250 0.250
0.000 0.000 0.000
0.500 0.500 0.500
```

Symmetry   Fm-3m, No. 225
Calculated formation energy   -0.02 eV per atom
Excess energy over the best structure of this formula in the dataset   167.5 meV per atom


(6)
This record from Alexandria via LeMat-Bulk describes a relaxed structure of TbSmTl6. The functional is PBE-GGA.

Geometry as POSCAR:
```
TbSmTl6
1.0
4.792 0.000 0.000
0.000 4.792 0.000
0.000 0.000 9.578
Tl Sm Tb
6 1 1
Direct
0.000 0.500 0.252
0.500 0.000 0.748
0.500 0.000 0.252
0.000 0.500 0.748
0.500 0.500 0.500
0.500 0.500 0.000
0.000 0.000 0.000
0.000 0.000 0.500
```

Symmetry   P4/mmm, No. 123
Calculated formation energy   -0.27 eV per atom


| no. | total magnetization (Bohr magnetons per cell) | DOS(E_F) (states/eV/cell) |
| --- | --- | --- |
| 1 | 0.0 | 11.083 |
| 2 | 0.0 | 5.798 |
| 3 | 0.0 | 13.433 |
| 4 | 0.0 | 15.481 |
| 5 | 1.5 | 5.389 |
| 6 | 0.0 | 2.430 |